Entry 1:
## Mn20Mo3C6 (GGA-PBEsol)

Data for an optimized crystal structure of Mn20Mo3C6.

Cell and atoms, written as POSCAR:
```
Mn20Mo3C6
1.0
0.000 5.184 5.184
5.184 0.000 5.184
5.184 5.184 0.000
Mn Mo C
20 3 6
direct
0.000 0.000 0.342
0.000 0.000 0.658
0.000 0.342 0.000
0.000 0.342 0.658
0.000 0.658 0.000
0.000 0.658 0.342
0.152 0.616 0.616
0.342 0.000 0.000
0.342 0.000 0.658
0.342 0.658 0.000
0.384 0.384 0.384
0.384 0.384 0.848
0.384 0.848 0.384
0.616 0.152 0.616
0.616 0.616 0.152
0.616 0.616 0.616
0.658 0.000 0.000
0.658 0.000 0.342
0.658 0.342 0.000
0.848 0.384 0.384
0.000 0.000 0.000
0.250 0.250 0.250
0.750 0.750 0.750
0.273 0.273 0.727
0.273 0.727 0.273
0.273 0.727 0.727
0.727 0.273 0.273
0.727 0.273 0.727
0.727 0.727 0.273
```

ρ	8.7	g cm⁻³
total energy	-291.77	eV for the cell shown
density of states at the Fermi level	31.07	states/eV/f.u.
energy of formation from the pure elements	-326	kJ/mol of formula units

Entry 2:
## MnMoC2 (GGA-PBEsol)

Data for an optimized crystal structure of MnMoC2.

Cell and atoms, written as POSCAR:
```
MnMoC2
1.0
-2.246 2.246 4.464
2.246 -2.246 4.464
2.246 2.246 -4.464
Mn Mo C
2 2 4
direct
0.000 0.000 0.000
0.750 0.250 0.500
0.250 0.750 0.500
0.500 0.500 0.000
0.103 0.625 0.978
0.375 0.353 0.478
0.647 0.125 0.022
0.875 0.897 0.522
```

ρ	6.4	g cm⁻³
total energy	-77.91	eV for the cell shown
density of states at the Fermi level	2.67	states/eV/f.u.
energy of formation from the pure elements	180	kJ/mol of formula units

Entry 3:
## ScMnMo2C (GGA-PBEsol)

Data for an optimized crystal structure of ScMnMo2C.

Cell and atoms, written as POSCAR:
```
ScMnMo2C
1.0
4.086 0.000 0.000
0.000 4.086 0.000
0.000 0.000 4.399
Sc Mn Mo C
1 1 2 1
direct
0.000 0.000 0.000
0.500 0.500 0.000
0.000 0.500 0.500
0.500 0.000 0.500
0.000 0.000 0.500
```

ρ	6.9	g cm⁻³
total energy	-48.97	eV for the cell shown
density of states at the Fermi level	4.77	states/eV/f.u.
energy of formation from the pure elements	55	kJ/mol of formula units

Entry 4:
## MnCN2O (GGA-PBEsol)

Data for an optimized crystal structure of MnCN2O.

Cell and atoms, written as POSCAR:
```
MnCN2O
1.0
3.540 0.000 0.000
0.000 3.540 0.000
0.000 0.000 3.783
Mn C N O
1 1 2 1
direct
0.000 0.000 0.000
0.500 0.500 0.500
0.000 0.500 0.000
0.500 0.000 0.000
0.000 0.000 0.500
```

ρ	3.9	g cm⁻³
total energy	-33.20	eV for the cell shown
formation energy (no corrections)	1.7011	eV per atom
density of states at the Fermi level	2.48	states/eV/f.u.

Entry 5:
## MnCSN2 (GGA-PBEsol)

Data for an optimized crystal structure of MnCSN2.

Cell and atoms, written as POSCAR:
```
MnCSN2
1.0
3.478 0.000 0.000
0.000 3.478 0.000
0.000 0.000 4.277
Mn C S N
1 1 1 2
direct
0.000 0.000 0.000
0.000 0.000 0.500
0.500 0.500 0.500
0.000 0.500 0.000
0.500 0.000 0.000
```

ρ	4.1	g cm⁻³
total energy	-33.44	eV for the cell shown
formation energy (no corrections)	1.4803	eV per atom
density of states at the Fermi level	3.05	states/eV/f.u.

Entry 6:
## NaMnC2O (GGA-PBEsol)

Data for an optimized crystal structure of NaMnC2O.

Cell and atoms, written as POSCAR:
```
NaMnC2O
1.0
3.567 0.000 0.000
0.000 3.567 0.000
0.000 0.000 6.412
Na Mn C O
1 1 2 1
direct
0.000 0.000 0.000
0.000 0.000 0.500
0.000 0.500 0.500
0.500 0.000 0.500
0.500 0.500 0.000
```

ρ	2.4	g cm⁻³
total energy	-29.54	eV for the cell shown
formation energy (no corrections)	1.2317	eV per atom
density of states at the Fermi level	4.30	states/eV/f.u.

Entry 7:
## NaMnPCO7 (GGA-PBEsol)

Data for an optimized crystal structure of NaMnPCO7.

Cell and atoms, written as POSCAR:
```
NaMnPCO7
1.0
6.056 0.000 0.000
-0.423 10.088 0.000
-0.490 -5.028 9.412
Na Mn P C O
4 4 4 4 28
direct
0.000 0.000 0.000
0.004 0.501 0.000
0.499 0.497 0.417
0.859 0.982 0.446
0.169 0.774 0.571
0.173 0.275 0.573
0.694 0.700 0.871
0.696 0.202 0.873
0.180 0.127 0.782
0.180 0.628 0.780
0.689 0.347 0.662
0.690 0.849 0.662
0.175 0.206 0.330
0.183 0.709 0.329
0.681 0.277 0.116
0.692 0.772 0.114
0.006 0.689 0.893
0.007 0.190 0.896
0.108 0.143 0.650
0.113 0.644 0.648
0.140 0.113 0.384
0.165 0.613 0.382
0.169 0.173 0.204
0.180 0.674 0.203
0.197 0.960 0.741
0.199 0.461 0.741
0.201 0.848 0.437
0.220 0.344 0.438
0.394 0.224 0.858
0.394 0.725 0.858
0.474 0.249 0.587
0.476 0.751 0.584
0.662 0.136 0.011
0.662 0.632 0.007
0.665 0.514 0.701
0.666 0.317 0.242
0.669 0.016 0.703
0.694 0.807 0.240
0.718 0.368 0.059
0.721 0.864 0.058
0.761 0.335 0.797
0.761 0.833 0.794
0.862 0.282 0.550
0.862 0.788 0.548
```

ρ	2.7	g cm⁻³
total energy	-333.09	eV for the cell shown
formation energy (no corrections)	-1.8118	eV per atom
density of states at the Fermi level	0.00	states/eV/f.u.

Entry 8:
## NaMnPCO7 (GGA-PBEsol)

Data for an optimized crystal structure of NaMnPCO7.

Cell and atoms, written as POSCAR:
```
NaMnPCO7
1.0
7.705 0.000 0.000
-1.475 7.881 0.000
-2.610 -4.330 9.367
Na Mn P C O
4 4 4 4 28
direct
0.018 0.440 0.224
0.336 0.228 0.778
0.664 0.772 0.222
0.982 0.560 0.776
0.197 0.936 0.349
0.308 0.568 0.652
0.692 0.432 0.348
0.803 0.064 0.651
0.047 0.793 0.561
0.450 0.709 0.441
0.550 0.291 0.559
0.953 0.207 0.439
0.016 0.765 0.106
0.488 0.728 0.895
0.512 0.272 0.105
0.984 0.235 0.894
0.034 0.249 0.785
0.066 0.385 0.576
0.075 0.331 0.020
0.083 0.124 0.362
0.166 0.936 0.525
0.178 0.748 0.673
0.180 0.894 0.160
0.305 0.738 0.328
0.322 0.594 0.840
0.338 0.568 0.482
0.419 0.190 0.978
0.423 0.376 0.639
0.436 0.108 0.428
0.470 0.249 0.212
0.530 0.751 0.788
0.564 0.892 0.572
0.577 0.624 0.361
0.581 0.810 0.022
0.662 0.432 0.518
0.678 0.406 0.160
0.695 0.262 0.672
0.820 0.106 0.840
0.822 0.252 0.327
0.834 0.064 0.475
0.917 0.876 0.638
0.925 0.669 0.980
0.934 0.615 0.424
0.966 0.751 0.215
```

ρ	2.7	g cm⁻³
total energy	-332.90	eV for the cell shown
formation energy (no corrections)	-1.8075	eV per atom

Entry 9:
## NaMnPCO7 (GGA-PBEsol)

Data for an optimized crystal structure of NaMnPCO7.

Cell and atoms, written as POSCAR:
```
NaMnPCO7
1.0
5.117 -6.159 0.000
5.117 6.159 0.000
-4.962 0.000 8.995
Na Mn P C O
4 4 4 4 28
direct
0.125 0.875 0.000
0.342 0.639 0.566
0.639 0.342 0.566
0.875 0.125 0.000
0.037 0.536 0.123
0.206 0.206 0.435
0.536 0.037 0.123
0.717 0.717 0.434
0.361 0.361 0.225
0.392 0.887 0.343
0.856 0.856 0.202
0.887 0.392 0.343
0.268 0.268 0.687
0.454 0.971 0.867
0.805 0.805 0.692
0.971 0.454 0.867
0.028 0.028 0.252
0.069 0.375 0.439
0.116 0.587 0.979
0.132 0.132 0.567
0.173 0.367 0.127
0.223 0.721 0.300
0.297 0.297 0.816
0.359 0.359 0.374
0.365 0.878 0.925
0.367 0.173 0.127
0.367 0.367 0.635
0.375 0.069 0.439
0.411 0.894 0.200
0.425 0.928 0.735
0.525 0.525 0.261
0.567 0.869 0.448
0.587 0.116 0.979
0.661 0.661 0.591
0.690 0.890 0.100
0.721 0.223 0.300
0.829 0.829 0.335
0.854 0.854 0.829
0.869 0.567 0.448
0.878 0.365 0.925
0.887 0.887 0.626
0.890 0.690 0.100
0.894 0.411 0.200
0.928 0.425 0.735
```

ρ	2.7	g cm⁻³
total energy	-332.21	eV for the cell shown
formation energy (no corrections)	-1.7920	eV per atom

Entry 10:
## NaMnPCO7 (GGA-PBEsol)

Data for an optimized crystal structure of NaMnPCO7.

Cell and atoms, written as POSCAR:
```
NaMnPCO7
1.0
10.526 0.000 0.000
0.000 6.144 0.000
-4.855 0.000 8.971
Na Mn P C O
4 4 4 4 28
direct
0.226 0.053 0.223
0.226 0.447 0.723
0.774 0.553 0.277
0.774 0.947 0.777
0.347 0.749 0.562
0.347 0.751 0.062
0.653 0.249 0.938
0.653 0.251 0.438
0.438 0.245 0.578
0.438 0.255 0.078
0.562 0.745 0.922
0.562 0.755 0.422
0.100 0.731 0.388
0.100 0.769 0.888
0.900 0.231 0.112
0.900 0.269 0.612
0.029 0.217 0.202
0.029 0.283 0.702
0.156 0.730 0.536
0.156 0.770 0.036
0.208 0.749 0.357
0.208 0.751 0.857
0.335 0.052 0.557
0.335 0.448 0.057
0.342 0.058 0.065
0.342 0.442 0.565
0.424 0.737 0.772
0.424 0.763 0.272
0.478 0.243 0.450
0.478 0.257 0.950
0.522 0.743 0.050
0.522 0.757 0.550
0.576 0.237 0.728
0.576 0.263 0.228
0.658 0.558 0.435
0.658 0.942 0.935
0.665 0.552 0.943
0.665 0.948 0.443
0.792 0.249 0.143
0.792 0.251 0.643
0.844 0.230 0.964
0.844 0.270 0.464
0.971 0.717 0.298
0.971 0.783 0.798
```

ρ	2.7	g cm⁻³
total energy	-332.90	eV for the cell shown
formation energy (no corrections)	-1.8077	eV per atom

Entry 11:
## Na3MnPCO7 (GGA-PBEsol)

Data for an optimized crystal structure of Na3MnPCO7.

Cell and atoms, written as POSCAR:
```
Na3MnPCO7
1.0
5.258 0.000 0.000
0.000 6.611 0.000
-0.042 0.000 8.969
Na Mn P C O
6 2 2 2 14
direct
0.000 0.000 0.000
0.000 0.500 0.000
0.060 0.249 0.336
0.500 0.499 0.500
0.500 0.999 0.500
0.940 0.749 0.664
0.478 0.750 0.204
0.522 0.250 0.796
0.484 0.750 0.843
0.516 0.250 0.157
0.002 0.750 0.348
0.998 0.250 0.652
0.060 0.750 0.209
0.178 0.750 0.450
0.195 0.750 0.865
0.237 0.249 0.611
0.373 0.249 0.004
0.426 0.437 0.248
0.427 0.062 0.249
0.573 0.562 0.751
0.574 0.937 0.752
0.627 0.749 0.996
0.763 0.749 0.389
0.805 0.250 0.135
0.822 0.250 0.550
0.940 0.250 0.791
```

ρ	3.0	g cm⁻³
total energy	-181.78	eV for the cell shown
formation energy (no corrections)	-1.9039	eV per atom
density of states at the Fermi level	0.00	states/eV/f.u.

Entry 12:
## Na2MnCSO7 (GGA-PBEsol)

Data for an optimized crystal structure of Na2MnCSO7.

Cell and atoms, written as POSCAR:
```
Na2MnCSO7
1.0
5.271 0.000 0.000
0.000 6.752 0.000
-0.216 0.000 9.014
Na Mn C S O
4 2 2 2 14
direct
0.232 0.006 0.292
0.232 0.494 0.292
0.768 0.506 0.708
0.768 0.994 0.708
0.228 0.750 0.864
0.772 0.250 0.136
0.273 0.750 0.582
0.727 0.250 0.418
0.272 0.250 0.924
0.728 0.750 0.076
0.049 0.750 0.640
0.175 0.250 0.078
0.181 0.071 0.844
0.181 0.429 0.844
0.308 0.750 0.444
0.442 0.750 0.067
0.464 0.750 0.679
0.536 0.250 0.321
0.558 0.250 0.933
0.692 0.250 0.556
0.819 0.571 0.156
0.819 0.929 0.156
0.825 0.750 0.922
0.951 0.250 0.360
```

ρ	2.7	g cm⁻³
total energy	-165.23	eV for the cell shown
formation energy (no corrections)	-1.6069	eV per atom
density of states at the Fermi level	0.00	states/eV/f.u.

Entry 13:
## Na3MnSiCO7 (GGA-PBEsol)

Data for an optimized crystal structure of Na3MnSiCO7.

Cell and atoms, written as POSCAR:
```
Na3MnSiCO7
1.0
5.217 0.000 0.000
0.000 6.375 0.000
-0.081 0.000 9.093
Na Mn Si C O
6 2 2 2 14
direct
0.219 0.250 0.097
0.263 0.502 0.738
0.263 0.998 0.738
0.737 0.002 0.262
0.737 0.498 0.262
0.781 0.750 0.903
0.218 0.750 0.354
0.782 0.250 0.646
0.311 0.250 0.429
0.689 0.750 0.571
0.283 0.750 0.055
0.717 0.250 0.945
0.089 0.750 0.146
0.156 0.250 0.581
0.233 0.750 0.916
0.252 0.047 0.321
0.252 0.453 0.321
0.374 0.750 0.540
0.486 0.250 0.895
0.514 0.750 0.105
0.626 0.250 0.460
0.748 0.547 0.679
0.748 0.953 0.679
0.767 0.250 0.084
0.844 0.750 0.419
0.911 0.250 0.854
```

ρ	3.0	g cm⁻³
total energy	-183.66	eV for the cell shown
formation energy (no corrections)	-1.9795	eV per atom

Entry 14:
## NaMnTeC2 (GGA-PBEsol)

Data for an optimized crystal structure of NaMnTeC2.

Cell and atoms, written as POSCAR:
```
NaMnTeC2
1.0
3.827 0.000 0.000
0.000 3.827 0.000
0.000 0.000 5.703
Na Mn Te C
1 1 1 2
direct
0.000 0.000 0.000
0.000 0.000 0.500
0.500 0.500 0.000
0.000 0.500 0.500
0.500 0.000 0.500
```

ρ	4.6	g cm⁻³
total energy	-26.86	eV for the cell shown
formation energy (no corrections)	1.4229	eV per atom
density of states at the Fermi level	3.36	states/eV/f.u.

Entry 15:
## Mn2NbC (GGA-PBEsol)

Data for an optimized crystal structure of Mn2NbC.

Cell and atoms, written as POSCAR:
```
Mn2NbC
1.0
0.000 2.783 2.783
2.783 0.000 2.783
2.783 2.783 0.000
Mn Nb C
2 1 1
direct
0.250 0.250 0.250
0.750 0.750 0.750
0.000 0.000 0.000
0.500 0.500 0.500
```

ρ	8.3	g cm⁻³
total energy	-36.51	eV for the cell shown
density of states at the Fermi level	3.36	states/eV/f.u.
energy of formation from the pure elements	336	kJ/mol of formula units